Density functional theory data (PBE) for a geometry-optimized LaNd3Dy7 structure.

Results
- calculated volume (Å³/atom) = 34.13
- energy of formation from the pure elements (eV/f.u.) = 2.7
- SG = Immm (71)

The structure in extended XYZ format:
```
11
Lattice="5.882 -0.211 -0.271 -2.610 8.025 1.074 -2.610 -0.904 8.046" Properties=species:S:1:pos:R:3 pbc="T T T"
Dy 0.531 5.502 7.046
Dy 0.131 1.409 1.804
Dy -2.418 7.271 5.774
Dy -2.610 3.561 4.560
Dy 3.080 3.071 0.396
Dy 3.080 -0.361 3.075
Dy -2.418 3.839 8.454
Nd -2.610 0.981 6.574
Nd 2.941 -0.106 -0.135
Nd -2.610 6.140 2.546
La 0.331 3.455 4.425
```